Entry 1:
CsBaO3, relaxed, DFT PBEsol; E_tot = -23.04 eV per cell; uncorrected formation energy = -0.841 eV per atom; calculated density = 4.30 g cm⁻³; space group = Pm-3m, No. 221
1.0
4.972 0.000 0.000
0.000 4.972 0.000
0.000 0.000 4.972
Ba Cs O
1 1 3
Direct
0.500 0.500 0.500
0.000 0.000 0.000
0.000 0.500 0.500
0.500 0.000 0.500
0.500 0.500 0.000

Entry 2:
ScBrCl, relaxed, DFT PBEsol; E_tot = -15.70 eV per cell; uncorrected formation energy = -1.738 eV per atom; calculated density = 3.69 g cm⁻³; space group = P3m1, No. 156
1.0
3.586 0.000 0.000
-1.793 3.105 0.000
0.000 0.000 6.477
Sc Br Cl
1 1 1
Direct
0.667 0.333 0.343
0.000 0.000 0.081
0.333 0.667 0.577

Entry 3:
K5Na3Ta6Nb2O24, relaxed, DFT PBEsol; E_tot = -337.43 eV per cell; uncorrected formation energy = -2.616 eV per atom; calculated density = 6.31 g cm⁻³; space group = Pm, No. 6
1.0
-3.611 3.579 -6.138
1.366 -6.394 -4.532
-6.973 -3.114 2.291
K Na Ta Nb O
5 3 6 2 24
Direct
0.251 0.000 0.249
0.252 0.000 0.748
0.252 0.500 0.249
0.252 0.500 0.749
0.750 0.500 0.749
0.758 0.000 0.241
0.756 0.000 0.742
0.758 0.500 0.240
0.000 0.249 0.998
0.503 0.249 0.996
0.003 0.250 0.497
0.000 0.751 0.998
0.503 0.751 0.996
0.003 0.750 0.497
0.506 0.249 0.495
0.506 0.751 0.495
0.994 0.000 0.003
0.502 0.000 0.005
0.993 0.000 0.501
0.499 0.000 0.503
0.996 0.500 0.004
0.502 0.500 0.005
0.993 0.500 0.500
0.499 0.500 0.503
0.993 0.249 0.251
0.501 0.250 0.251
0.995 0.248 0.752
0.501 0.248 0.754
0.993 0.751 0.251
0.501 0.750 0.251
0.995 0.752 0.752
0.501 0.752 0.754
0.248 0.249 0.003
0.749 0.249 0.005
0.246 0.250 0.501
0.749 0.247 0.502
0.248 0.751 0.003
0.749 0.751 0.005
0.246 0.750 0.501
0.749 0.753 0.502

Entry 4:
Sr2CuHg, relaxed, DFT PBEsol; E_tot = -9.67 eV per cell; DFT formation energy = -0.271 eV per atom; calculated density = 6.13 g cm⁻³; space group = Amm2, No. 38; relative energy among the computed polymorphs = 0 meV per atom
1.0
-3.792 -0.051 2.319
-0.267 -4.572 -0.537
4.910 -0.726 3.751
Sr Hg Cu
2 1 1
Direct
0.982 0.500 0.965
0.267 0.000 0.534
0.688 0.500 0.377
0.562 0.000 0.125

Entry 5:
MnSi2F, relaxed, DFT PBEsol; E_tot = -23.77 eV per cell; uncorrected formation energy = -0.146 eV per atom; calculated density = 4.31 g cm⁻³; space group = Fm-3m, No. 225
1.0
4.140 0.000 0.000
2.070 3.585 0.000
2.070 1.195 3.380
Si Mn F
2 1 1
Direct
0.250 0.250 0.250
0.750 0.750 0.750
0.500 0.500 0.500
0.000 0.000 0.000

Entry 6:
GaSb2Ir, relaxed, DFT PBEsol; E_tot = -43.04 eV per cell; uncorrected formation energy = 0.190 eV per atom; calculated density = 7.76 g cm⁻³; space group = I-42d, No. 122
1.0
6.136 0.000 0.000
0.000 6.136 0.000
-3.068 -3.068 5.749
Sb Ir Ga
4 2 2
Direct
0.353 0.875 0.250
0.897 0.375 0.250
0.125 0.103 0.750
0.625 0.647 0.750
0.250 0.750 0.500
0.000 0.000 0.000
0.750 0.250 0.500
0.500 0.500 0.000

Entry 7:
PaP2, relaxed, DFT PBEsol; E_tot = -50.09 eV per cell; DFT formation energy = -1.077 eV per atom; calculated density = 8.63 g cm⁻³; space group = P4/nmm, No. 129
1.0
-1.310 3.551 0.518
-3.484 -1.391 0.720
1.734 -0.456 7.511
P Pa
4 2
Direct
0.000 0.500 0.357
0.500 0.000 0.643
0.000 0.000 0.000
0.500 0.500 0.000
0.000 0.500 0.720
0.500 0.000 0.280

Entry 8:
KCoF2, relaxed, DFT PBEsol; E_tot = -17.70 eV per cell; uncorrected formation energy = -1.243 eV per atom; calculated density = 3.38 g cm⁻³; space group = R-3m, No. 166
1.0
3.460 0.000 0.000
1.730 2.996 0.000
1.730 0.999 6.441
K Co F
1 1 2
Direct
0.000 0.000 0.000
0.500 0.500 0.500
0.876 0.876 0.373
0.124 0.124 0.627